(1)
8
Lattice="5.103 0.000 0.000 0.000 5.103 0.000 2.552 2.552 4.988" Properties=species:S:1:pos:R:3 comment="Hf2NF (GGA-PBE, relaxed)" dos_at_fermi_per_ev_cell=0.0 final_energy_ev_per_cell=-71.8 magmom_total_mub_per_atom=0.00 e_form_raw_mev_per_atom=-1445 polymorph_energy_mev_per_atom=0.0 pbc="T T T"
N 2.552 2.552 0.000
N 2.552 5.103 2.494
Hf 3.613 1.276 1.247
Hf 1.490 3.827 1.247
Hf 3.827 4.042 3.741
Hf 6.379 6.164 3.741
F 0.000 0.000 0.000
F 5.103 2.552 2.494

(2)
28
Lattice="-5.920 3.905 -4.707 -0.211 0.280 8.505 4.654 6.920 -0.112" Properties=species:S:1:pos:R:3 comment="HfNF5 (GGA-PBE, relaxed)" dos_at_fermi_per_ev_cell=0.0 final_energy_ev_per_cell=-175.3 magmom_total_mub_per_atom=0.29 e_form_raw_mev_per_atom=-2313 pbc="T T T"
Hf 1.951 6.287 0.882
Hf -0.320 2.788 0.904
Hf -3.428 4.819 2.804
Hf -1.157 8.317 2.782
N -1.721 1.239 5.010
N 0.772 4.594 5.338
N -4.410 2.946 -1.212
N -2.249 6.512 -1.652
F 3.442 5.261 -0.044
F -1.819 3.804 1.830
F -4.920 5.845 3.730
F 0.342 7.302 1.856
F 0.827 4.593 0.903
F -1.465 1.109 0.937
F -2.304 6.512 2.783
F -0.012 9.997 2.748
F 2.633 6.157 2.666
F -0.724 3.331 -0.887
F -4.110 4.948 1.020
F -0.753 7.774 4.573
F 1.185 7.077 -0.684
F 0.723 2.412 2.463
F -2.662 4.029 4.370
F -2.201 8.693 1.222
F -1.205 0.911 6.205
F 0.255 4.922 4.143
F -4.926 3.274 -2.407
F -1.733 6.184 -0.457

(3)
4
Lattice="1.952 0.000 5.553 -0.976 1.690 5.553 -0.976 -1.690 5.553" Properties=species:S:1:pos:R:3 comment="HfN2F (GGA-PBE, relaxed)" dos_at_fermi_per_ev_cell=2.7 final_energy_ev_per_cell=-29.8 magmom_total_mub_per_atom=0.00 e_form_raw_mev_per_atom=-325 polymorph_energy_mev_per_atom=217.3 pbc="T T T"
N 0.000 0.000 14.858
N 0.000 0.000 1.802
Hf 0.000 0.000 8.330
F 0.000 0.000 0.000